Yb2Te4O11: optimized geometry, PBE.

It has space group C2/c (No. 15), with a = 12.435 Å, b = 5.205 Å, c = 16.555 Å, α = 90.00°, β = 103.65° and γ = 90.00°. The inequivalent atoms are Yb at (0.121, 0.242, 0.040), Te at (0.122, 0.289, 0.697), Te at (0.130, 0.285, 0.377), O at (0.000, 0.159, 0.750), O at (0.024, 0.434, 0.601), O at (0.067, 0.100, 0.452), O at (0.151, 0.046, 0.168), O at (0.208, 0.464, 0.951) and O at (0.246, 0.438, 0.627).

The calculation puts the density of states at the Fermi level at 33.53 states/eV/f.u. As for the formation energy from raw total energies: -1591 meV per atom. The calculation puts the magnetic moment at 1.846 μB/f.u. For the raw total energy, the calculation gives -5.718 eV/atom.